Entry from Alexandria via LeMat-Bulk: an optimized crystal structure of AlCo2SF (GGA+U).

a b c (Å): 4.814 4.814 4.403
angles (deg): 90.00 90.00 90.00
Fractional coordinates of all 5 atoms:
1 Al 0.000 0.000 0.000
2 Co 0.000 0.500 0.000
3 Co 0.500 0.000 0.000
4 S 0.000 0.000 0.500
5 F 0.500 0.500 0.500

Calculated values
DFT total energy, eV per atom: -3.43